No. 1
Computed, not measured: a relaxed structure of Ta2AsRu at the PBE level of DFT. Values from VASP.

Structure (Quantum ESPRESSO input):
```
&SYSTEM
  ibrav = 0, nat = 4, ntyp = 3
/
ATOMIC_SPECIES
Ru 101.07 Ru.upf
Ta 180.95 Ta.upf
As 74.92 As.upf
CELL_PARAMETERS angstrom
2.9414 0.0000 0.0000
0.0000 2.9414 0.0000
0.0000 0.0000 7.6032
ATOMIC_POSITIONS crystal
Ru 0.5000 0.5000 0.7198
Ta 0.0000 0.0000 0.9771
Ta 0.5000 0.5000 0.2734
As 0.0000 0.0000 0.5297
```

Summary:
- Formation energy: -0.08 eV per atom



No. 2
Computed, not measured: a relaxed structure of Tc2AuCl at the PBE level of DFT. Values from VASP.

Structure (Quantum ESPRESSO input):
```
&SYSTEM
  ibrav = 0, nat = 4, ntyp = 3
/
ATOMIC_SPECIES
Tc 98.00 Tc.upf
Au 196.97 Au.upf
Cl 35.45 Cl.upf
CELL_PARAMETERS angstrom
9.8554 0.0418 0.0245
9.4242 2.8836 0.0245
9.4242 1.4300 2.5042
ATOMIC_POSITIONS crystal
Tc 0.2617 0.2617 0.2617
Tc 0.9979 0.9979 0.9979
Au 0.5109 0.5109 0.5109
Cl 0.7295 0.7295 0.7295
```

Summary:
- Formation energy (no corrections): 0.6 eV/f.u.



No. 3
Computed, not measured: a relaxed structure of PrBePt3 at the PBE level of DFT. Values from VASP.

Structure (Quantum ESPRESSO input):
```
&SYSTEM
  ibrav = 0, nat = 10, ntyp = 3
/
ATOMIC_SPECIES
Pt 195.08 Pt.upf
Be 9.01 Be.upf
Pr 140.91 Pr.upf
CELL_PARAMETERS angstrom
-3.1490 3.8743 3.2100
-3.6830 -4.2344 1.4953
1.2754 0.9130 5.7215
ATOMIC_POSITIONS crystal
Pt 0.7158 0.1365 0.1062
Pt 0.7159 0.6365 0.1061
Pt 0.1466 0.8865 0.0506
Pt 0.2024 0.6365 0.6195
Pt 0.2025 0.1365 0.6194
Pt 0.7717 0.3865 0.6750
Be 0.3642 0.8863 0.2678
Be 0.5541 0.3867 0.4578
Pr 0.7030 0.8865 0.6072
Pr 0.2153 0.3865 0.1185
```

Summary:
- Formation energy: -0.90 eV per atom



No. 4
Computed, not measured: a relaxed structure of InReBr2 at the PBE level of DFT. Values from VASP.

Structure (Quantum ESPRESSO input):
```
&SYSTEM
  ibrav = 0, nat = 4, ntyp = 3
/
ATOMIC_SPECIES
Br 79.90 Br.upf
Re 186.21 Re.upf
In 114.82 In.upf
CELL_PARAMETERS angstrom
6.3912 -0.4777 0.2594
1.5336 6.2229 -0.2594
-2.4056 -5.0201 3.1867
ATOMIC_POSITIONS crystal
Br 0.9364 0.9364 0.0000
Br 0.2942 0.7942 0.5000
Re 0.7468 0.2468 0.5000
In 0.5226 0.5226 0.0000
```

Summary:
- Formation energy (no corrections): 2.3 eV/f.u.



No. 5
Computed, not measured: a relaxed structure of Hf2FeH4 at the PBE level of DFT. Values from VASP.

Structure (Quantum ESPRESSO input):
```
&SYSTEM
  ibrav = 0, nat = 7, ntyp = 3
/
ATOMIC_SPECIES
Hf 178.49 Hf.upf
H 1.01 H.upf
Fe 55.84 Fe.upf
CELL_PARAMETERS angstrom
-1.5927 -1.1267 2.6559
2.8146 0.0593 1.7131
-0.4710 4.7546 3.7791
ATOMIC_POSITIONS crystal
Hf 0.3466 0.3466 0.3068
Hf 0.6534 0.6534 0.6932
H 0.5000 0.0000 0.0000
H 0.1518 0.1518 0.6965
H 0.8482 0.8482 0.3035
H 0.0000 0.5000 0.0000
Fe 0.0000 0.0000 0.0000
```

Summary:
- Energy: -43.628 eV/cell



No. 6
Computed, not measured: a relaxed structure of CoOsCl2 at the PBE level of DFT. Values from VASP.

Structure (Quantum ESPRESSO input):
```
&SYSTEM
  ibrav = 0, nat = 4, ntyp = 3
/
ATOMIC_SPECIES
Os 190.23 Os.upf
Co 58.93 Co.upf
Cl 35.45 Cl.upf
CELL_PARAMETERS angstrom
-3.0129 -1.5697 -2.9380
1.0527 -3.4590 -2.6646
-1.9087 -4.0106 0.6669
ATOMIC_POSITIONS crystal
Os 0.7500 0.7500 0.7500
Co 0.5000 0.5000 0.5000
Cl 0.2500 0.2500 0.2500
Cl 0.0000 0.0000 0.0000
```

Summary:
- Formation energy (no corrections): 5.4 eV/f.u.



No. 7
Computed, not measured: a relaxed structure of Sc2Ga5CuRu2 at the PBE level of DFT. Values from VASP.

Structure (Quantum ESPRESSO input):
```
&SYSTEM
  ibrav = 0, nat = 20, ntyp = 4
/
ATOMIC_SPECIES
Ga 69.72 Ga.upf
Ru 101.07 Ru.upf
Sc 44.96 Sc.upf
Cu 63.55 Cu.upf
CELL_PARAMETERS angstrom
4.0052 0.0000 0.0000
0.0000 9.1457 0.0000
0.0000 0.0000 9.1457
ATOMIC_POSITIONS crystal
Ga 0.5000 0.2001 0.0630
Ga 0.5000 0.7001 0.4370
Ga 0.5000 0.0000 0.5000
Ga 0.5000 0.4370 0.2999
Ga 0.5000 0.5000 0.0000
Ga 0.5000 0.7999 0.9370
Ga 0.5000 0.5630 0.7001
Ga 0.5000 0.2999 0.5630
Ga 0.5000 0.0630 0.7999
Ga 0.5000 0.9370 0.2001
Ru 0.0000 0.6189 0.8811
Ru 0.0000 0.8811 0.3811
Ru 0.0000 0.3811 0.1189
Ru 0.0000 0.1189 0.6189
Sc 0.0000 0.8209 0.6791
Sc 0.0000 0.1791 0.3209
Sc 0.0000 0.3209 0.8209
Sc 0.0000 0.6791 0.1791
Cu 0.0000 0.5000 0.5000
Cu 0.0000 0.0000 0.0000
```

Summary:
- Formation energy: -0.36 eV per atom



No. 8
Computed, not measured: a relaxed structure of Li15In at the PBE level of DFT. Values from VASP.

Structure (Quantum ESPRESSO input):
```
&SYSTEM
  ibrav = 0, nat = 16, ntyp = 2
/
ATOMIC_SPECIES
Li 6.94 Li.upf
In 114.82 In.upf
CELL_PARAMETERS angstrom
6.0209 0.0000 0.0000
-3.0105 5.2143 0.0000
0.0000 0.0000 9.9684
ATOMIC_POSITIONS crystal
Li 0.8360 0.1640 0.7540
Li 0.3280 0.1640 0.2460
Li 0.5020 0.0039 0.5000
Li 0.0000 0.0000 0.5000
Li 0.5006 0.4994 0.0000
Li 0.5006 0.0012 0.0000
Li 0.9988 0.4994 0.0000
Li 0.5020 0.4980 0.5000
Li 0.3333 0.6667 0.2553
Li 0.8360 0.6720 0.7540
Li 0.8360 0.1640 0.2460
Li 0.3280 0.1640 0.7540
Li 0.3333 0.6667 0.7447
Li 0.9961 0.4980 0.5000
Li 0.8360 0.6720 0.2460
In 0.0000 0.0000 0.0000
```

Summary:
- Formation energy: -0.05 eV per atom



No. 9
Computed, not measured: a relaxed structure of TcP2Pt at the PBE level of DFT. Values from VASP.

Structure (Quantum ESPRESSO input):
```
&SYSTEM
  ibrav = 0, nat = 4, ntyp = 3
/
ATOMIC_SPECIES
P 30.97 P.upf
Tc 98.00 Tc.upf
Pt 195.08 Pt.upf
CELL_PARAMETERS angstrom
4.8134 0.0114 0.0158
-1.5511 4.5566 0.0158
1.6203 2.2688 2.8598
ATOMIC_POSITIONS crystal
P 0.0000 0.0000 0.0000
P 0.5000 0.5000 0.0000
Tc 0.0000 0.5000 0.5000
Pt 0.5000 0.0000 0.5000
```

Summary:
- Formation energy: 0.11 eV per atom



No. 10
Computed, not measured: a relaxed structure of KSrGa4 at the PBE level of DFT. Values from VASP.

Structure (Quantum ESPRESSO input):
```
&SYSTEM
  ibrav = 0, nat = 6, ntyp = 3
/
ATOMIC_SPECIES
K 39.10 K.upf
Ga 69.72 Ga.upf
Sr 87.62 Sr.upf
CELL_PARAMETERS angstrom
5.8703 0.0000 0.0000
2.9351 5.0838 0.0000
2.9351 1.6946 4.7931
ATOMIC_POSITIONS crystal
K 0.2500 0.2500 0.2500
Ga 0.6251 0.6251 0.1248
Ga 0.1248 0.6251 0.6251
Ga 0.6251 0.6251 0.6251
Ga 0.6251 0.1248 0.6251
Sr 0.0000 0.0000 0.0000
```

Summary:
- Formation energy: -0.24 eV per atom



No. 11
Computed, not measured: a relaxed structure of Dy5Hg2RuRh2 at the PBE level of DFT. Values from VASP.

Structure (Quantum ESPRESSO input):
```
&SYSTEM
  ibrav = 0, nat = 20, ntyp = 4
/
ATOMIC_SPECIES
Rh 102.91 Rh.upf
Ru 101.07 Ru.upf
Dy 162.50 Dy.upf
Hg 200.59 Hg.upf
CELL_PARAMETERS angstrom
-2.2130 -1.5302 -2.2852
0.5205 -9.8102 6.0650
-8.9797 3.4653 6.3759
ATOMIC_POSITIONS crystal
Rh 0.0000 0.6323 0.8677
Rh 0.0000 0.1323 0.6323
Rh 0.0000 0.8677 0.3677
Rh 0.0000 0.3677 0.1323
Ru 0.0000 0.5000 0.5000
Ru 0.0000 0.0000 0.0000
Dy 0.5000 0.5000 0.0000
Dy 0.5000 0.4236 0.3084
Dy 0.5000 0.1916 0.0764
Dy 0.5000 0.9236 0.1916
Dy 0.5000 0.5764 0.6916
Dy 0.5000 0.0000 0.5000
Dy 0.5000 0.0764 0.8084
Dy 0.5000 0.3084 0.5764
Dy 0.5000 0.8084 0.9236
Dy 0.5000 0.6916 0.4236
Hg 0.0000 0.3255 0.8255
Hg 0.0000 0.8255 0.6745
Hg 0.0000 0.6745 0.1745
Hg 0.0000 0.1745 0.3255
```

Summary:
- Formation energy: -0.51 eV per atom



No. 12
Computed, not measured: a relaxed structure of RbCrRh3 at the PBE level of DFT. Values from VASP.

Structure (Quantum ESPRESSO input):
```
&SYSTEM
  ibrav = 0, nat = 5, ntyp = 3
/
ATOMIC_SPECIES
Rh 102.91 Rh.upf
Cr 52.00 Cr.upf
Rb 85.47 Rb.upf
CELL_PARAMETERS angstrom
4.6320 0.0000 0.0000
0.0000 4.6320 0.0000
0.0000 0.0000 4.6320
ATOMIC_POSITIONS crystal
Rh 0.0000 0.0000 0.5000
Rh 0.5000 0.0000 0.0000
Rh 0.0000 0.5000 0.0000
Cr 0.0000 0.0000 0.0000
Rb 0.5000 0.5000 0.5000
```

Summary:
- Formation energy: 0.81 eV per atom



No. 13
Computed, not measured: a relaxed structure of As3IrRu at the PBE level of DFT. Values from VASP.

Structure (Quantum ESPRESSO input):
```
&SYSTEM
  ibrav = 0, nat = 5, ntyp = 3
/
ATOMIC_SPECIES
As 74.92 As.upf
Ir 192.22 Ir.upf
Ru 101.07 Ru.upf
CELL_PARAMETERS angstrom
-4.0519 -1.3099 -1.9325
2.0938 -0.3267 -4.1686
1.0326 -4.4772 0.8696
ATOMIC_POSITIONS crystal
As 0.0000 0.0000 0.5000
As 0.0000 0.5000 0.0000
As 0.5000 0.0000 0.0000
Ir 0.5000 0.5000 0.5000
Ru 0.0000 0.0000 0.0000
```

Summary:
- Formation energy: 0.94 eV per atom



Total magnetization, respectively: 0.00; 0.00; 0.00; 2.02; 0.80; 4.06; 0.00; 0.00; 0.00; 0.00; 0.00; 0.00; 0.00 μB/cell.